[1]
This record from the Alexandria database describes a geometry-optimized PmCuAgSb structure. The functional is PBE.

Values from the calculation:
For the volume, the calculation gives 21.57 Å³/atom. The value obtained for the uncorrected formation energy is -0.2669 eV per atom. For the size of the total moment, the calculation gives 0.000 μB per atom. Its space-group type is F-43m.

```
4
Lattice="0.000 3.507 3.507 3.507 0.000 3.507 3.507 3.507 0.000" Properties=species:S:1:pos:R:3 pbc="T T T"
Pm 0.000 0.000 0.000
Cu 5.261 5.261 5.261
Ag 1.754 1.754 1.754
Sb 3.507 3.507 3.507
```

---

[2]
This record from the Alexandria database describes a geometry-optimized PmCuAgSn2 structure. The functional is PBE.

Values from the calculation:
For the volume, the calculation gives 23.00 Å³/atom. As for the energy of formation: -0.33 eV per atom. For the size of the total moment, the calculation gives 0.000 μB per atom. Its space-group type is I-4m2.

```
5
Lattice="-2.217 2.217 5.848 2.217 -2.217 5.848 2.217 2.217 -5.848" Properties=species:S:1:pos:R:3 pbc="T T T"
Pm 0.000 0.000 0.000
Cu 0.000 2.217 2.924
Ag 2.217 0.000 2.924
Sn 0.000 0.000 4.451
Sn 0.000 0.000 7.245
```

---

[3]
This record from the Alexandria database describes a geometry-optimized Pm2Cu3AgSn4 structure. The functional is PBE.

Values from the calculation:
For the volume, the calculation gives 21.92 Å³/atom. As for the energy of formation: -0.39 eV per atom. For the size of the total moment, the calculation gives 0.000 μB per atom. Its space-group type is P-4m2.

```
10
Lattice="4.475 0.000 0.000 0.000 4.475 0.000 0.000 0.000 10.945" Properties=species:S:1:pos:R:3 pbc="T T T"
Pm 0.000 2.238 2.724
Pm 2.238 0.000 8.221
Cu 0.000 0.000 0.000
Cu 0.000 2.238 6.919
Cu 2.238 0.000 4.026
Ag 2.238 2.238 0.000
Sn 0.000 0.000 5.473
Sn 0.000 2.238 9.431
Sn 2.238 0.000 1.514
Sn 2.238 2.238 5.473
```

---

[4]
This record from the Alexandria database describes a geometry-optimized PmCuAgSn structure. The functional is PBE.

Values from the calculation:
For the volume, the calculation gives 21.14 Å³/atom. As for the energy of formation: -0.34 eV per atom. For the size of the total moment, the calculation gives 0.000 μB per atom. Its space-group type is F-43m.

```
4
Lattice="0.000 3.484 3.484 3.484 0.000 3.484 3.484 3.484 0.000" Properties=species:S:1:pos:R:3 pbc="T T T"
Pm 0.000 0.000 0.000
Cu 5.226 5.226 5.226
Ag 1.742 1.742 1.742
Sn 3.484 3.484 3.484
```

---

[5]
This record from the Alexandria database describes a geometry-optimized SrPmCuAg structure. The functional is PBE.

Values from the calculation:
For the volume, the calculation gives 26.09 Å³/atom. As for the energy of formation: -0.12 eV per atom. For the size of the total moment, the calculation gives 0.000 μB per atom. Its space-group type is F-43m.

```
4
Lattice="0.000 3.737 3.737 3.737 0.000 3.737 3.737 3.737 0.000" Properties=species:S:1:pos:R:3 pbc="T T T"
Sr 0.000 0.000 0.000
Pm 3.737 3.737 3.737
Cu 1.868 1.868 1.868
Ag 5.605 5.605 5.605
```

---

[6]
This record from the Alexandria database describes a geometry-optimized TbPmCuAg structure. The functional is PBE.

Values from the calculation:
For the volume, the calculation gives 23.75 Å³/atom. As for the energy of formation: -0.22 eV per atom. For the size of the total moment, the calculation gives 0.000 μB per atom. Its space-group type is F-43m.

```
4
Lattice="0.000 3.622 3.622 3.622 0.000 3.622 3.622 3.622 0.000" Properties=species:S:1:pos:R:3 pbc="T T T"
Tb 0.000 0.000 0.000
Pm 3.622 3.622 3.622
Cu 1.811 1.811 1.811
Ag 5.432 5.432 5.432
```